No. 1
CsRbIrF6 after structural relaxation, computed with PBE.

Calculated values
volume	23.402	A^3/atom
total DFT energy (no corrections)	-41.47	eV per cell
energy relative to the elements, uncorrected	-2.173	eV per atom

Lattice parameters (Å, degrees): 6.619 6.619 5.551 90.00 90.00 120.00
Positions (direct):
Cs  0.000  0.000  0.000
Rb  0.333  0.667  0.500
Ir  0.667  0.333  0.500
F  0.420  0.088  0.702
F  0.420  0.332  0.298
F  0.668  0.088  0.298
F  0.668  0.580  0.702
F  0.912  0.332  0.702
F  0.912  0.580  0.298

***

No. 2
Sc2FeSb2 after structural relaxation, computed with PBE.

Calculated values
volume	20.359	A^3/atom
energy relative to the lowest polymorph listed for this composition	0	meV per atom
total DFT energy (no corrections)	-62.67	eV per cell
energy relative to the elements, uncorrected	-0.393	eV per atom

Lattice parameters (Å, degrees): 6.725 6.725 4.502 90.00 90.00 90.00
Positions (direct):
Sc  0.166  0.334  0.000
Sc  0.334  0.834  0.000
Sc  0.666  0.166  0.000
Sc  0.834  0.666  0.000
Fe  0.000  0.000  0.500
Fe  0.500  0.500  0.500
Sb  0.153  0.653  0.500
Sb  0.347  0.153  0.500
Sb  0.653  0.847  0.500
Sb  0.847  0.347  0.500

***

No. 3
BC2 after structural relaxation, computed with PBE.

Calculated values
volume	6.562	A^3/atom
energy relative to the lowest polymorph listed for this composition	107	meV per atom
total DFT energy (no corrections)	-96.34	eV per cell
formation enthalpy at 0 K	347	meV per atom

Lattice parameters (Å, degrees): 4.624 2.585 6.589 90.00 90.24 90.00
Positions (direct):
B  0.183  0.000  0.212
B  0.261  0.500  0.574
B  0.739  0.500  0.426
B  0.817  0.000  0.788
C  0.005  0.500  0.888
C  0.166  0.000  0.457
C  0.329  0.500  0.809
C  0.486  0.000  0.883
C  0.514  0.000  0.117
C  0.671  0.500  0.191
C  0.834  0.000  0.543
C  0.995  0.500  0.112

***

No. 4
Cd2ReAu after structural relaxation, computed with PBE.

Calculated values
volume	18.008	A^3/atom
energy relative to the lowest polymorph listed for this composition	0	meV per atom
total DFT energy (no corrections)	-16.25	eV per cell
formation enthalpy at 0 K	326	meV per atom

Lattice parameters (Å, degrees): 9.868 9.868 9.868 17.05 17.05 17.05
Positions (direct):
Cd  0.249  0.249  0.249
Cd  0.751  0.751  0.751
Re  0.500  0.500  0.500
Au  0.000  0.000  0.000

***

No. 5
BeSiW after structural relaxation, computed with PBE.

Calculated values
volume	12.376	A^3/atom
energy relative to the lowest polymorph listed for this composition	24	meV per atom
total DFT energy (no corrections)	-21.91	eV per cell
energy relative to the elements, uncorrected	0.065	eV per atom

Lattice parameters (Å, degrees): 4.039 4.039 2.628 90.00 90.00 120.00
Positions (direct):
Be  0.000  0.000  0.000
Si  0.667  0.333  0.000
W  0.333  0.667  0.500

***

No. 6
Pr3Er4Tm2 after structural relaxation, computed with PBE.

Calculated values
volume	32.137	A^3/atom
energy relative to the lowest polymorph listed for this composition	0	meV per atom
total DFT energy (no corrections)	-41.31	eV per cell
formation enthalpy at 0 K	24	meV per atom

Lattice parameters (Å, degrees): 6.174 6.193 7.969 75.19 82.73 80.22
Positions (direct):
Pr  0.000  0.000  0.000
Pr  0.112  0.557  0.774
Pr  0.888  0.443  0.226
Er  0.225  0.112  0.553
Er  0.446  0.222  0.112
Er  0.554  0.778  0.888
Er  0.775  0.888  0.447
Tm  0.336  0.668  0.334
Tm  0.664  0.332  0.666

***

No. 7
KMgMo2 after structural relaxation, computed with PBE.

Calculated values
volume	20.177	A^3/atom
total DFT energy (no corrections)	-18.87	eV per cell
formation enthalpy at 0 K	1371	meV per atom

Lattice parameters (Å, degrees): 5.960 5.960 5.960 141.70 141.70 55.28
Positions (direct):
K  0.000  0.000  0.000
Mg  0.500  0.500  0.000
Mo  0.250  0.750  0.500
Mo  0.750  0.250  0.500

***

No. 8
Ca2MgCu16 after structural relaxation, computed with PBE.

Calculated values
volume	14.352	A^3/atom
total DFT energy (no corrections)	-72.87	eV per cell
formation enthalpy at 0 K	-91	meV per atom

Lattice parameters (Å, degrees): 6.534 6.534 6.534 82.69 82.69 82.69
Positions (direct):
Ca  0.000  0.000  0.000
Ca  0.308  0.308  0.308
Mg  0.566  0.566  0.566
Cu  0.154  0.659  0.659
Cu  0.313  0.313  0.815
Cu  0.313  0.815  0.313
Cu  0.359  0.659  0.958
Cu  0.359  0.958  0.659
Cu  0.505  0.999  0.999
Cu  0.659  0.154  0.659
Cu  0.659  0.359  0.958
Cu  0.659  0.659  0.154
Cu  0.659  0.958  0.359
Cu  0.763  0.763  0.763
Cu  0.815  0.313  0.313
Cu  0.958  0.359  0.659
Cu  0.958  0.659  0.359
Cu  0.999  0.505  0.999
Cu  0.999  0.999  0.505